No. 1
VASP calculation (GGA-PBE) on a relaxed structure of ZrCo2Ir2. Values from VASP.

Structure (Quantum ESPRESSO input):
```
&SYSTEM
  ibrav = 0, nat = 10, ntyp = 3
/
ATOMIC_SPECIES
Ir 192.22 Ir.upf
Co 58.93 Co.upf
Zr 91.22 Zr.upf
CELL_PARAMETERS angstrom
-5.596 3.404 3.022
-3.803 -0.866 -6.068
-0.959 -2.415 0.945
ATOMIC_POSITIONS crystal
Ir 0.175 0.675 0.500
Ir 0.675 0.825 0.500
Ir 0.825 0.325 0.500
Ir 0.325 0.175 0.500
Co 0.380 0.880 0.000
Co 0.880 0.620 0.000
Co 0.620 0.120 0.000
Co 0.120 0.380 0.000
Zr 0.000 0.000 0.000
Zr 0.500 0.500 0.000
```

Values from the calculation:
Crystal system: tetragonal
Calculated total energy in eV/atom: -8.322
DOS(E_F) in states/eV per atom: 1.39
SG: P4/mbm, No. 127
Total magnetic moment in μB/atom: 0.49
Polymorph energy (0 for the lowest one) in meV/atom: 0.0
Formation energy from the elements in eV/atom: -0.23

No. 2
VASP calculation (GGA-PBE) on a relaxed structure of TaTiIN2. Values from VASP.

Structure (Quantum ESPRESSO input):
```
&SYSTEM
  ibrav = 0, nat = 5, ntyp = 4
/
ATOMIC_SPECIES
I 126.90 I.upf
N 14.01 N.upf
Ti 47.87 Ti.upf
Ta 180.95 Ta.upf
CELL_PARAMETERS angstrom
4.047 0.000 0.000
0.000 5.609 0.000
0.000 0.000 4.047
ATOMIC_POSITIONS crystal
I 0.000 0.500 0.000
N 0.000 0.000 0.500
N 0.500 0.000 0.000
Ti 0.500 0.500 0.500
Ta 0.000 0.000 0.000
```

Values from the calculation:
Crystal system: tetragonal
Calculated total energy in eV/atom: -7.052
DOS(E_F) in states/eV per atom: 1.36
Formation energy without anion corrections in meV per atom: 537.6
SG: P4/mmm, No. 123
Total magnetic moment in μB/atom: 0.00
Polymorph energy (0 for the lowest one) in meV/atom: 0.0

No. 3
VASP calculation (GGA-PBE) on a relaxed structure of Ga2Ag5Au. Values from VASP.

Structure (Quantum ESPRESSO input):
```
&SYSTEM
  ibrav = 0, nat = 8, ntyp = 3
/
ATOMIC_SPECIES
Ga 69.72 Ga.upf
Ag 107.87 Ag.upf
Au 196.97 Au.upf
CELL_PARAMETERS angstrom
-0.945 -2.481 -1.167
4.995 -1.257 -4.978
4.100 -4.830 3.342
ATOMIC_POSITIONS crystal
Ga 0.740 0.760 0.760
Ga 0.260 0.240 0.240
Ag 0.000 0.500 0.500
Ag 0.632 0.603 0.134
Ag 0.368 0.397 0.866
Ag 0.368 0.866 0.397
Ag 0.632 0.134 0.603
Au 0.000 0.000 0.000
```

Values from the calculation:
Crystal system: orthorhombic
Calculated total energy in eV/atom: -2.971
DOS(E_F) in states/eV per atom: 0.31
SG: Immm, No. 71
Total magnetic moment in μB/atom: 0.00
Formation energy from the elements in eV/atom: -0.02

No. 4
VASP calculation (GGA-PBE) on a relaxed structure of Ba2VSe. Values from VASP.

Structure (Quantum ESPRESSO input):
```
&SYSTEM
  ibrav = 0, nat = 8, ntyp = 3
/
ATOMIC_SPECIES
Ba 137.33 Ba.upf
Se 78.96 Se.upf
V 50.94 V.upf
CELL_PARAMETERS angstrom
8.835 0.000 0.000
0.000 8.835 0.000
4.418 4.418 4.386
ATOMIC_POSITIONS crystal
Ba 0.656 0.125 0.250
Ba 0.094 0.625 0.250
Ba 0.375 0.344 0.750
Ba 0.875 0.906 0.750
Se 0.000 0.000 0.000
Se 0.750 0.250 0.500
V 0.500 0.500 0.000
V 0.250 0.750 0.500
```

Values from the calculation:
Crystal system: tetragonal
Calculated total energy in eV/atom: -4.164
DOS(E_F) in states/eV per atom: 1.35
Formation energy without anion corrections in meV per atom: -52.0
SG: I-42d, No. 122
Total magnetic moment in μB/atom: 1.25

No. 5
VASP calculation (GGA-PBE) on a relaxed structure of Sr3LaP. Values from VASP.

Structure (Quantum ESPRESSO input):
```
&SYSTEM
  ibrav = 0, nat = 5, ntyp = 3
/
ATOMIC_SPECIES
Sr 87.62 Sr.upf
P 30.97 P.upf
La 138.91 La.upf
CELL_PARAMETERS angstrom
-4.027 -2.428 3.698
-3.522 -1.266 -4.667
2.676 -5.319 -0.577
ATOMIC_POSITIONS crystal
Sr 0.000 0.500 0.000
Sr 0.000 0.000 0.500
Sr 0.500 0.000 0.000
P 0.000 0.000 0.000
La 0.500 0.500 0.500
```

Values from the calculation:
Crystal system: cubic
Calculated total energy in eV/atom: -3.319
DOS(E_F) in states/eV per atom: 1.38
SG: Pm-3m, No. 221
Total magnetic moment in μB/atom: 0.04
Polymorph energy (0 for the lowest one) in meV/atom: 0.0
Formation energy from the elements in eV/atom: -0.24

No. 6
VASP calculation (GGA-PBE) on a relaxed structure of AlCoW2. Values from VASP.

Structure (Quantum ESPRESSO input):
```
&SYSTEM
  ibrav = 0, nat = 4, ntyp = 3
/
ATOMIC_SPECIES
Co 58.93 Co.upf
Al 26.98 Al.upf
W 183.84 W.upf
CELL_PARAMETERS angstrom
-0.382 2.431 -1.142
-3.535 0.344 1.915
2.420 2.286 4.057
ATOMIC_POSITIONS crystal
Co 0.500 0.500 0.750
Al 0.500 0.500 0.250
W 0.000 0.000 0.997
W 0.000 0.000 0.503
```

Values from the calculation:
Crystal system: orthorhombic
Calculated total energy in eV/atom: -9.143
DOS(E_F) in states/eV per atom: 0.72
SG: Pmmm, No. 47
Total magnetic moment in μB/atom: 0.20
Formation energy from the elements in eV/atom: 0.05

The highest total magnetic moment belongs to which entry?
Ba2VSe